No. 1
Material: CaEuCuRh
Method: DFT, PBE
State: relaxed

Unit cell a=7.066 b=7.066 c=7.066 alpha=90.00 beta=90.00 gamma=90.00
Space group F-43m (No. 216)
Unique sites:
Ca 0.000 0.000 0.000 x4
Eu 0.000 0.000 0.500 x4
Cu 0.250 0.250 0.750 x4
Rh 0.250 0.250 0.250 x4

The density of states at the Fermi level comes out at 52.46 states/eV/cell. The calculation puts the energy of formation at -0.89 eV per formula unit. Its total magnetization is 1.704 μB per atom. The total energy comes out at -6.15 eV per atom.

No. 2
Material: Be2HgBr
Method: DFT, PBE
State: relaxed

Unit cell a=6.702 b=6.702 c=6.702 alpha=90.00 beta=90.00 gamma=90.00
Space group Fm-3m (No. 225)
Unique sites:
Be 0.250 0.250 0.250 x8
Hg 0.000 0.000 0.000 x4
Br 0.000 0.000 0.500 x4

The density of states at the Fermi level comes out at 21.07 states/eV/cell. Its total magnetization is 0.000 μB per atom. The total energy comes out at -1.34 eV per atom. Its uncorrected formation energy is 98.1 kJ/mol of atoms.

No. 3
Material: Co2Ni2Sn
Method: DFT, PBE
State: relaxed

Unit cell a=6.733 b=6.733 c=2.921 alpha=90.00 beta=90.00 gamma=90.00
Space group P4/mbm (No. 127)
Unique sites:
Co 0.166 0.334 0.000 x4
Ni 0.125 0.625 0.500 x4
Sn 0.000 0.000 0.500 x2

The density of states at the Fermi level comes out at 12.64 states/eV/cell. The calculation puts the energy of formation at 1.00 eV per formula unit. Its total magnetization is 0.850 μB per atom. The total energy comes out at -5.76 eV per atom.

No. 4
Material: YBAs2Br
Method: DFT, PBE
State: relaxed

Unit cell a=5.521 b=5.521 c=5.000 alpha=90.00 beta=90.00 gamma=90.00
Space group P4/mmm (No. 123)
Unique sites:
Y 0.000 0.000 0.000 x1
B 0.000 0.000 0.500 x1
As 0.000 0.500 0.000 x2
Br 0.500 0.500 0.500 x1

The density of states at the Fermi level comes out at 7.07 states/eV/cell. Its total magnetization is 0.182 μB per atom. The total energy comes out at -3.78 eV per atom. Its uncorrected formation energy is 100.4 kJ/mol of atoms.

No. 5
Material: RbBaUBr6
Method: DFT, PBE
State: relaxed

Unit cell a=8.1377 b=8.1377 c=14.3752 alpha=90.00 beta=90.00 gamma=120.00
Space group P-31c (No. 163)
Unique sites:
Rb 0.0000 0.0000 0.0000 x2
Ba 0.3333 0.6667 0.2500 x2
U 0.3333 0.6667 0.7500 x2
Br 0.0304 0.3797 0.6340 x12

Its total magnetization is 0.333 μB per atom. The total energy comes out at -4.38 eV per atom. Its uncorrected formation energy is -163.3 kJ/mol of atoms.

No. 6
Material: Sr3ScS
Method: DFT, PBE
State: relaxed

Unit cell a=5.839 b=5.839 c=5.839 alpha=90.00 beta=90.00 gamma=90.00
Space group Pm-3m (No. 221)
Unique sites:
Sr 0.000 0.000 0.500 x3
Sc 0.500 0.500 0.500 x1
S 0.000 0.000 0.000 x1

The density of states at the Fermi level comes out at 14.09 states/eV/cell. Its total magnetization is 0.190 μB per atom. The total energy comes out at -3.58 eV per atom. Its uncorrected formation energy is -46.2 kJ/mol of atoms.

No. 7
Material: TcAg3
Method: DFT, PBE
State: relaxed

Unit cell a=5.023 b=5.023 c=2.734 alpha=90.00 beta=90.00 gamma=90.00
Space group P4/mmm (No. 123)
Unique sites:
Tc 0.000 0.000 0.000 x1
Ag 0.000 0.500 0.500 x2
Ag 0.500 0.500 0.000 x1

The density of states at the Fermi level comes out at 1.90 states/eV/cell. The calculation puts the energy of formation at 2.11 eV per formula unit. Its total magnetization is 0.207 μB per atom. The total energy comes out at -4.20 eV per atom.

No. 8
Material: TaRhAu2
Method: DFT, PBE
State: relaxed

Unit cell a=3.954 b=3.954 c=8.525 alpha=90.00 beta=90.00 gamma=90.00
Space group I4/mmm (No. 139)
Unique sites:
Ta 0.000 0.000 0.000 x2
Rh 0.000 0.000 0.500 x2
Au 0.000 0.500 0.250 x4

The density of states at the Fermi level comes out at 7.76 states/eV/cell. The calculation puts the energy of formation at -0.58 eV per formula unit. Its total magnetization is 0.000 μB per atom. The total energy comes out at -6.58 eV per atom.

No. 9
Material: LiPPb2
Method: DFT, PBE
State: relaxed

Unit cell a=4.787 b=4.787 c=4.125 alpha=90.00 beta=90.00 gamma=90.00
Space group P4/mmm (No. 123)
Unique sites:
Li 0.000 0.000 0.000 x1
P 0.500 0.500 0.000 x1
Pb 0.000 0.500 0.500 x2

The density of states at the Fermi level comes out at 1.58 states/eV/cell. The calculation puts the energy of formation at 0.01 eV per formula unit. Its total magnetization is 0.000 μB per atom. The total energy comes out at -3.68 eV per atom.

No. 10
Material: Rb3Sc2PaSe6
Method: DFT, PBE
State: relaxed

Unit cell a=7.117 b=12.327 c=8.347 alpha=90.00 beta=106.52 gamma=90.00
Space group C2/m (No. 12)
Unique sites:
Rb 0.000 0.000 0.000 x2
Rb 0.000 0.334 0.000 x4
Sc 0.000 0.167 0.500 x4
Pa 0.000 0.500 0.500 x2
Se 0.222 0.000 0.691 x4
Se 0.235 0.329 0.692 x8

The density of states at the Fermi level comes out at 16.84 states/eV/cell. Its total magnetization is 0.160 μB per atom. The total energy comes out at -5.31 eV per atom. Its uncorrected formation energy is -142.7 kJ/mol of atoms.

No. 11
Material: CsZn2InBr8
Method: DFT, PBE
State: relaxed

Unit cell a=6.7906 b=6.7906 c=32.1496 alpha=90.00 beta=90.00 gamma=120.00
Space group R-3 (No. 148, hexagonal axes)
Unique sites:
Cs 0.0000 0.0000 0.0000 x3
Zn 0.0000 0.0000 0.2403 x6
In 0.0000 0.0000 0.5000 x3
Br 0.0000 0.0000 0.3140 x6
Br 0.0011 0.3476 0.2167 x18

The density of states at the Fermi level comes out at 0.00 states/eV/cell. Its total magnetization is 0.000 μB per atom. The total energy comes out at -2.62 eV per atom. Its uncorrected formation energy is -95.8 kJ/mol of atoms.

No. 12
Material: PmSmTm2Sb4
Method: DFT, PBE
State: relaxed

Unit cell a=7.632 b=4.415 c=7.642 alpha=90.00 beta=109.50 gamma=90.00
Space group P2/m (No. 10)
Unique sites:
Pm 0.000 0.000 0.000 x1
Sm 0.000 0.500 0.500 x1
Tm 0.500 0.000 0.500 x1
Tm 0.500 0.500 0.000 x1
Sb 0.260 0.000 0.753 x2
Sb 0.260 0.500 0.254 x2

The density of states at the Fermi level comes out at 1.10 states/eV/cell. Its total magnetization is 0.000 μB per atom. The total energy comes out at -5.48 eV per atom. Its uncorrected formation energy is -108.2 kJ/mol of atoms.

No. 13
Material: Pa2ZnGa3Ni4
Method: DFT, PBE
State: relaxed

Unit cell a=3.935 b=3.935 c=10.428 alpha=90.00 beta=90.00 gamma=90.00
Space group P-4m2 (No. 115)
Unique sites:
Pa 0.000 0.500 0.247 x2
Zn 0.500 0.500 0.000 x1
Ga 0.000 0.000 0.000 x1
Ga 0.000 0.500 0.627 x2
Ni 0.000 0.000 0.500 x1
Ni 0.000 0.500 0.854 x2
Ni 0.500 0.500 0.500 x1

The density of states at the Fermi level comes out at 10.99 states/eV/cell. The calculation puts the energy of formation at -4.09 eV per formula unit. Its total magnetization is 0.000 μB per atom. The total energy comes out at -5.66 eV per atom.

No. 14
Material: Te3Mo
Method: DFT, PBE
State: relaxed

Unit cell a=7.178 b=7.178 c=7.178 alpha=90.00 beta=90.00 gamma=90.00
Space group Fm-3m (No. 225)
Unique sites:
Te 0.000 0.000 0.000 x4
Te 0.250 0.250 0.250 x8
Mo 0.000 0.000 0.500 x4

The density of states at the Fermi level comes out at 12.22 states/eV/cell. Its total magnetization is 0.000 μB per atom. The total energy comes out at -4.41 eV per atom. Its uncorrected formation energy is 62.6 kJ/mol of atoms.

No. 15
Material: NaNi
Method: DFT, PBE
State: relaxed

Unit cell a=2.644 b=13.140 c=5.344 alpha=90.00 beta=90.00 gamma=90.00
Space group Pmmn (No. 59, origin choice 2)
Unique sites:
Na 0.250 0.088 0.064 x4
Na 0.250 0.750 0.714 x2
Ni 0.250 0.250 0.722 x2
Ni 0.250 0.577 0.423 x4

The density of states at the Fermi level comes out at 10.94 states/eV/cell. The calculation puts the energy of formation at 1.00 eV per formula unit. Its total magnetization is 0.031 μB per atom. The total energy comes out at -3.05 eV per atom.

No. 16
Material: La6Tb8Tm
Method: DFT, PBE
State: relaxed

Unit cell a=9.1734 b=9.1734 c=21.2027 alpha=90.00 beta=90.00 gamma=120.00
Space group R-3 (No. 148, hexagonal axes)
Unique sites:
La 0.0538 0.8060 0.2124 x18
Tb 0.0000 0.0000 0.0772 x6
Tb 0.0807 0.5144 0.3054 x18
Tm 0.0000 0.0000 0.5000 x3

The density of states at the Fermi level comes out at 70.67 states/eV/cell. The calculation puts the energy of formation at 1.64 eV per formula unit. Its total magnetization is 0.000 μB per atom. The total energy comes out at -4.63 eV per atom.

No. 17
Material: La2NdDy2Y
Method: DFT, PBE
State: relaxed

Unit cell a=7.158 b=5.751 c=9.940 alpha=90.00 beta=90.00 gamma=90.00
Space group Pmma (No. 51)
Unique sites:
La 0.000 0.000 0.000 x2
La 0.250 0.500 0.175 x2
Nd 0.250 0.000 0.661 x2
Dy 0.250 0.000 0.334 x2
Dy 0.250 0.500 0.834 x2
Y 0.000 0.500 0.500 x2

The density of states at the Fermi level comes out at 20.44 states/eV/cell. The calculation puts the energy of formation at 0.35 eV per formula unit. Its total magnetization is 0.000 μB per atom. The total energy comes out at -4.99 eV per atom.

No. 18
Material: Eu2TlSn
Method: DFT, PBE
State: relaxed

Unit cell a=5.344 b=5.344 c=4.321 alpha=90.00 beta=90.00 gamma=90.00
Space group P4/mmm (No. 123)
Unique sites:
Eu 0.000 0.500 0.000 x2
Tl 0.000 0.000 0.500 x1
Sn 0.500 0.500 0.500 x1

The density of states at the Fermi level comes out at 14.58 states/eV/cell. The calculation puts the energy of formation at -2.18 eV per formula unit. Its total magnetization is 3.510 μB per atom. The total energy comes out at -7.27 eV per atom.

No. 19
Material: Sr2Li4Cd
Method: DFT, PBE
State: relaxed

Unit cell a=5.145 b=5.145 c=17.174 alpha=90.00 beta=90.00 gamma=90.00
Space group I4/mmm (No. 139)
Unique sites:
Sr 0.000 0.000 0.139 x4
Li 0.000 0.000 0.344 x4
Li 0.000 0.500 0.000 x4
Cd 0.000 0.000 0.500 x2

The density of states at the Fermi level comes out at 10.84 states/eV/cell. The calculation puts the energy of formation at 0.37 eV per formula unit. Its total magnetization is 0.000 μB per atom. The total energy comes out at -1.65 eV per atom.